(1)
A relaxed NaTiSe crystal. Source: Alexandria, functional PBE-GGA.

Cell: 3.933 3.933 7.706 Å, 90.00 90.00 90.00°
Fractional positions:
1 Na 0.250 0.250 0.144
2 Na 0.750 0.750 0.856
3 Ti 0.250 0.750 0.500
4 Ti 0.750 0.250 0.500
5 Se 0.250 0.250 0.739
6 Se 0.750 0.750 0.261

density of states at the Fermi level	0.421	states/eV/atom
crystal system	tetragonal
formation energy (no corrections)	-0.793	eV per atom
density	4.174	g/cm³
total energy	-5.026	eV/atom

(2)
A relaxed CePm3Dy2Ho6 crystal. Source: Alexandria, functional PBE-GGA.

Cell: 6.173 6.173 11.758 Å, 95.02 95.02 119.98°
Fractional positions:
1 Ce 0.000 0.000 0.000
2 Pm 0.168 0.832 0.500
3 Pm 0.500 0.500 0.500
4 Pm 0.832 0.168 0.500
5 Dy 0.333 0.667 0.000
6 Dy 0.667 0.333 0.000
7 Ho 0.083 0.414 0.247
8 Ho 0.248 0.248 0.753
9 Ho 0.414 0.083 0.247
10 Ho 0.586 0.917 0.753
11 Ho 0.752 0.752 0.247
12 Ho 0.917 0.586 0.753

density of states at the Fermi level	1.511	states/eV/atom
crystal system	monoclinic
density	8.211	g/cm³
total energy	-4.705	eV/atom
formation energy	0.40	eV per formula unit